## A
Here is an optimized crystal structure of Na3TlCo from Alexandria via LeMat-Bulk. Energies are from PBE.

abc: 5.3594 5.3594 5.3594
angles: 90.00 90.00 90.00
Closest atoms and distances in Å follow each position.
Sites, in units of the cell vectors:
1 Na 0.0000 0.0000 0.5000  2 Co 2.68
2 Na 0.0000 0.5000 0.0000  2 Co 2.68
3 Na 0.5000 0.0000 0.0000  2 Co 2.68
4 Tl 0.5000 0.5000 0.5000  12 Na 3.79
5 Co 0.0000 0.0000 0.0000  6 Na 2.68

Summary:
Fermi-level density of states   12.84 states/eV/cell
Mass density   3.58 Mg/m³

---

## B
Here is an optimized crystal structure of Na3TlCo from Alexandria via LeMat-Bulk. Energies are from PBE.

abc: 5.7870 5.7870 5.7870
angles: 90.00 90.00 90.00
Closest atoms and distances in Å follow each position.
Sites, in units of the cell vectors:
1 Na 0.0000 0.0000 0.5000  2 Tl 2.89
2 Na 0.0000 0.5000 0.0000  2 Tl 2.89
3 Na 0.5000 0.0000 0.0000  2 Tl 2.89
4 Tl 0.0000 0.0000 0.0000  6 Na 2.89
5 Co 0.5000 0.5000 0.5000  12 Na 4.09

Summary:
Fermi-level density of states   3.56 states/eV/cell
Mass density   2.85 Mg/m³

---

Most stable to least stable: A, B

---

## A
Here is an optimized crystal structure of NaVCo2 from Alexandria via LeMat-Bulk. Energies are from PBE.

abc: 6.5602 6.5602 5.4229
angles: 90.00 90.00 90.00
Closest atoms and distances in Å follow each position.
Sites, in units of the cell vectors:
1 Na 0.0000 0.0000 0.0000  8 Co 2.64-2.93, 2 V 2.71
2 Na 0.0000 0.5000 0.2500  8 Co 2.64-2.93, 2 V 2.71
3 Na 0.5000 0.0000 0.7500  8 Co 2.64-2.93, 2 V 2.71
4 Na 0.5000 0.5000 0.5000  8 Co 2.64-2.93, 2 V 2.71
5 V 0.0000 0.0000 0.5000  4 Co 2.22
6 V 0.0000 0.5000 0.7500  4 Co 2.22
7 V 0.5000 0.0000 0.2500  4 Co 2.22
8 V 0.5000 0.5000 0.0000  4 Co 2.22
9 Co 0.2029 0.7500 0.6250  2 V 2.22
10 Co 0.2500 0.2029 0.3750  2 V 2.22
11 Co 0.2500 0.2971 0.8750  2 V 2.22
12 Co 0.2971 0.7500 0.1250  2 V 2.22
13 Co 0.7029 0.2500 0.1250  2 V 2.22
14 Co 0.7500 0.7029 0.8750  2 V 2.22
15 Co 0.7500 0.7971 0.3750  2 V 2.22
16 Co 0.7971 0.2500 0.6250  2 V 2.22

Summary:
Fermi-level density of states   6.49 states/eV/cell
Mass density   5.46 Mg/m³

---

## B
Here is an optimized crystal structure of NaVCo2 from Alexandria via LeMat-Bulk. Energies are from PBE.

abc: 5.8875 5.8875 5.8875
angles: 90.00 90.00 90.00
Closest atoms and distances in Å follow each position.
Sites, in units of the cell vectors:
1 Na 0.0000 0.0000 0.0000  8 Co 2.55
2 Na 0.0000 0.5000 0.5000  8 Co 2.55
3 Na 0.5000 0.0000 0.5000  8 Co 2.55
4 Na 0.5000 0.5000 0.0000  8 Co 2.55
5 V 0.0000 0.0000 0.5000  8 Co 2.55
6 V 0.0000 0.5000 0.0000  8 Co 2.55
7 V 0.5000 0.0000 0.0000  8 Co 2.55
8 V 0.5000 0.5000 0.5000  8 Co 2.55
9 Co 0.2500 0.2500 0.2500  4 Na 2.55, 4 V 2.55
10 Co 0.2500 0.2500 0.7500  4 Na 2.55, 4 V 2.55
11 Co 0.2500 0.7500 0.2500  4 Na 2.55, 4 V 2.55
12 Co 0.2500 0.7500 0.7500  4 Na 2.55, 4 V 2.55
13 Co 0.7500 0.2500 0.2500  4 Na 2.55, 4 V 2.55
14 Co 0.7500 0.2500 0.7500  4 Na 2.55, 4 V 2.55
15 Co 0.7500 0.7500 0.2500  4 Na 2.55, 4 V 2.55
16 Co 0.7500 0.7500 0.7500  4 Na 2.55, 4 V 2.55

Summary:
Fermi-level density of states   6.51 states/eV/cell
Mass density   6.24 Mg/m³

---

Most stable to least stable: B, A

---

## A
Here is an optimized crystal structure of Na2VCo from Alexandria via LeMat-Bulk. Energies are from PBE.

abc: 10.3137 10.3137 4.2742
angles: 90.00 90.00 90.00
Closest atoms and distances in Å follow each position.
Sites, in units of the cell vectors:
1 Na 0.1126 0.2500 0.1250  2 Co 2.88
2 Na 0.2500 0.6126 0.3750  2 Co 2.88
3 Na 0.2500 0.8874 0.8750  2 Co 2.88
4 Na 0.3874 0.2500 0.6250  2 Co 2.88
5 Na 0.6126 0.7500 0.6250  2 Co 2.88
6 Na 0.7500 0.1126 0.8750  2 Co 2.88
7 Na 0.7500 0.3874 0.3750  2 Co 2.88
8 Na 0.8874 0.7500 0.1250  2 Co 2.88
9 V 0.0000 0.0000 0.5000  2 Co 2.14
10 V 0.0000 0.5000 0.7500  2 Co 2.14
11 V 0.5000 0.0000 0.2500  2 Co 2.14
12 V 0.5000 0.5000 0.0000  2 Co 2.14
13 Co 0.0000 0.0000 0.0000  2 V 2.14
14 Co 0.0000 0.5000 0.2500  2 V 2.14
15 Co 0.5000 0.0000 0.7500  2 V 2.14
16 Co 0.5000 0.5000 0.5000  2 V 2.14

Summary:
Fermi-level density of states   22.46 states/eV/cell
Mass density   2.28 Mg/m³

---

## B
Here is an optimized crystal structure of Na2VCo from Alexandria via LeMat-Bulk. Energies are from PBE.

abc: 6.8859 6.8859 6.8859
angles: 90.00 90.00 90.00
Closest atoms and distances in Å follow each position.
Sites, in units of the cell vectors:
1 Na 0.2500 0.2500 0.2500  4 Co 2.98, 4 V 2.98
2 Na 0.2500 0.2500 0.7500  4 Co 2.98, 4 V 2.98
3 Na 0.2500 0.7500 0.2500  4 Co 2.98, 4 V 2.98
4 Na 0.2500 0.7500 0.7500  4 Co 2.98, 4 V 2.98
5 Na 0.7500 0.2500 0.2500  4 Co 2.98, 4 V 2.98
6 Na 0.7500 0.2500 0.7500  4 Co 2.98, 4 V 2.98
7 Na 0.7500 0.7500 0.2500  4 Co 2.98, 4 V 2.98
8 Na 0.7500 0.7500 0.7500  4 Co 2.98, 4 V 2.98
9 V 0.0000 0.0000 0.0000  8 Na 2.98
10 V 0.0000 0.5000 0.5000  8 Na 2.98
11 V 0.5000 0.0000 0.5000  8 Na 2.98
12 V 0.5000 0.5000 0.0000  8 Na 2.98
13 Co 0.0000 0.0000 0.5000  8 Na 2.98
14 Co 0.0000 0.5000 0.0000  8 Na 2.98
15 Co 0.5000 0.0000 0.0000  8 Na 2.98
16 Co 0.5000 0.5000 0.5000  8 Na 2.98

Summary:
Fermi-level density of states   45.26 states/eV/cell
Mass density   3.17 Mg/m³

---

Most stable to least stable: A, B

---

## A
Here is an optimized crystal structure of NaCoW3 from Alexandria via LeMat-Bulk. Energies are from PBE.

abc: 4.4311 4.4311 4.4311
angles: 90.00 90.00 90.00
Closest atoms and distances in Å follow each position.
Sites, in units of the cell vectors:
1 Na 0.0000 0.0000 0.0000  6 W 2.22
2 Co 0.5000 0.5000 0.5000  12 W 3.13
3 W 0.0000 0.0000 0.5000  2 Na 2.22
4 W 0.0000 0.5000 0.0000  2 Na 2.22
5 W 0.5000 0.0000 0.0000  2 Na 2.22

Summary:
Fermi-level density of states   5.96 states/eV/cell
Mass density   12.09 Mg/m³

---

## B
Here is an optimized crystal structure of NaCoW3 from Alexandria via LeMat-Bulk. Energies are from PBE.

abc: 4.5484 4.5484 4.5484
angles: 90.00 90.00 90.00
Closest atoms and distances in Å follow each position.
Sites, in units of the cell vectors:
1 Na 0.0000 0.0000 0.0000  12 W 3.22
2 Co 0.5000 0.5000 0.5000  6 W 2.27
3 W 0.0000 0.5000 0.5000  2 Co 2.27
4 W 0.5000 0.0000 0.5000  2 Co 2.27
5 W 0.5000 0.5000 0.0000  2 Co 2.27

Summary:
Fermi-level density of states   5.17 states/eV/cell
Mass density   11.18 Mg/m³

---

Most stable to least stable: B, A

---

## A
Here is an optimized crystal structure of Na3YCo from Alexandria via LeMat-Bulk. Energies are from PBE.

abc: 6.4190 6.4190 6.4190
angles: 90.00 90.00 90.00
Closest atoms and distances in Å follow each position.
Sites, in units of the cell vectors:
1 Na 0.0000 0.0000 0.5000  2 Y 3.21
2 Na 0.0000 0.5000 0.0000  2 Y 3.21
3 Na 0.5000 0.0000 0.0000  2 Y 3.21
4 Y 0.0000 0.0000 0.0000  6 Na 3.21
5 Co 0.5000 0.5000 0.5000  12 Na 4.54

Summary:
Fermi-level density of states   6.05 states/eV/cell
Mass density   1.36 Mg/m³

---

## B
Here is an optimized crystal structure of Na3YCo from Alexandria via LeMat-Bulk. Energies are from PBE.

abc: 5.2238 5.2238 5.2238
angles: 90.00 90.00 90.00
Closest atoms and distances in Å follow each position.
Sites, in units of the cell vectors:
1 Na 0.0000 0.0000 0.5000  2 Co 2.61
2 Na 0.0000 0.5000 0.0000  2 Co 2.61
3 Na 0.5000 0.0000 0.0000  2 Co 2.61
4 Y 0.5000 0.5000 0.5000  12 Na 3.69
5 Co 0.0000 0.0000 0.0000  6 Na 2.61

Summary:
Fermi-level density of states   4.24 states/eV/cell
Mass density   2.53 Mg/m³

---

Most stable to least stable: B, A

---

## A
Here is an optimized crystal structure of NaY3Co from Alexandria via LeMat-Bulk. Energies are from PBE.

abc: 5.3162 5.3162 5.3162
angles: 90.00 90.00 90.00
Closest atoms and distances in Å follow each position.
Sites, in units of the cell vectors:
1 Na 0.0000 0.0000 0.0000  12 Y 3.76
2 Y 0.0000 0.5000 0.5000  2 Co 2.66
3 Y 0.5000 0.0000 0.5000  2 Co 2.66
4 Y 0.5000 0.5000 0.0000  2 Co 2.66
5 Co 0.5000 0.5000 0.5000  6 Y 2.66

Summary:
Fermi-level density of states   2.63 states/eV/cell
Mass density   3.85 Mg/m³

---

## B
Here is an optimized crystal structure of NaY3Co from Alexandria via LeMat-Bulk. Energies are from PBE.

abc: 5.4391 5.4391 5.4391
angles: 90.00 90.00 90.00
Closest atoms and distances in Å follow each position.
Sites, in units of the cell vectors:
1 Na 0.0000 0.0000 0.0000  6 Y 2.72
2 Y 0.0000 0.0000 0.5000  2 Na 2.72
3 Y 0.0000 0.5000 0.0000  2 Na 2.72
4 Y 0.5000 0.0000 0.0000  2 Na 2.72
5 Co 0.5000 0.5000 0.5000  12 Y 3.85

Summary:
Fermi-level density of states   9.86 states/eV/cell
Mass density   3.60 Mg/m³

---

Most stable to least stable: A, B